# 1
Crystalline K2SeS2O6 at its relaxed geometry. Source: Alexandria, functional PBE.

Lattice parameters (Å, degrees): 9.8962 6.0315 15.9083 90.00 112.62 90.00
Closest atoms and distances in Å follow each position.
Fractional positions:
K  0.0541  0.2195  0.1792  6 O 2.70-3.02
K  0.0541  0.2805  0.6792  6 O 2.70-3.02
K  0.2742  0.2369  0.9714  6 O 2.72-2.89
K  0.2742  0.2631  0.4714  6 O 2.72-2.89
K  0.7258  0.7369  0.5286  6 O 2.72-2.89
K  0.7258  0.7631  0.0286  6 O 2.72-2.89
K  0.9459  0.7195  0.3208  6 O 2.70-3.02
K  0.9459  0.7805  0.8208  6 O 2.70-3.02
Se  0.3699  0.6692  0.7098  2 S 2.31
Se  0.3699  0.8308  0.2098  2 S 2.31
Se  0.6301  0.1692  0.7902  2 S 2.31
Se  0.6301  0.3308  0.2902  2 S 2.31
S  0.1615  0.7100  0.0921  3 O 1.47
S  0.1615  0.7900  0.5921  3 O 1.47
S  0.3023  0.7411  0.8307  3 O 1.46-1.48
S  0.3023  0.7589  0.3307  3 O 1.46-1.48
S  0.6977  0.2411  0.6693  3 O 1.46-1.48
S  0.6977  0.2589  0.1693  3 O 1.46-1.48
S  0.8385  0.2100  0.4079  3 O 1.47
S  0.8385  0.2900  0.9079  3 O 1.47
O  0.0381  0.7255  0.6168  1 S 1.47
O  0.0381  0.7745  0.1168  1 S 1.47
O  0.1716  0.6676  0.5149  1 S 1.47
O  0.1716  0.8324  0.0149  1 S 1.47
O  0.1746  0.0314  0.5849  1 S 1.47
O  0.1746  0.4686  0.0849  1 S 1.47
O  0.2035  0.5578  0.8313  1 S 1.48
O  0.2035  0.9422  0.3313  1 S 1.48
O  0.2276  0.5424  0.3153  1 S 1.47
O  0.2276  0.9576  0.8153  1 S 1.47
O  0.4431  0.7364  0.9082  1 S 1.46
O  0.4431  0.7636  0.4082  1 S 1.46
O  0.5569  0.2364  0.5918  1 S 1.46
O  0.5569  0.2636  0.0918  1 S 1.46
O  0.7724  0.0424  0.1847  1 S 1.47
O  0.7724  0.4576  0.6847  1 S 1.47
O  0.7965  0.0578  0.6687  1 S 1.48
O  0.7965  0.4422  0.1687  1 S 1.48
O  0.8254  0.5314  0.9151  1 S 1.47
O  0.8254  0.9686  0.4151  1 S 1.47
O  0.8284  0.1676  0.9851  1 S 1.47
O  0.8284  0.3324  0.4851  1 S 1.47
O  0.9619  0.2255  0.8832  1 S 1.47
O  0.9619  0.2745  0.3832  1 S 1.47

Output
Space-group type: P2_1/c, No. 14
E_tot (eV/atom): -5.448


# 2
Crystalline KSeS2O8 at its relaxed geometry. Source: Alexandria, functional PBE.

Lattice parameters (Å, degrees): 5.4172 5.4172 8.2139 98.38 98.38 56.76
Closest atoms and distances in Å follow each position.
Fractional positions:
K  0.0000  0.0000  0.0000  10 O 2.91-3.23
Se  0.0000  0.0000  0.5000  4 O 2.04
S  0.3834  0.3834  0.2791  4 O 1.44-1.56
S  0.6166  0.6166  0.7209  4 O 1.44-1.56
O  0.2474  0.7235  0.3111  1 S 1.56
O  0.2765  0.7526  0.6889  1 S 1.56
O  0.2824  0.2824  0.3913  1 S 1.44
O  0.3294  0.3294  0.1025  1 S 1.46
O  0.6706  0.6706  0.8975  1 S 1.46
O  0.7176  0.7176  0.6087  1 S 1.44
O  0.7235  0.2474  0.3111  1 S 1.56
O  0.7526  0.2765  0.6889  1 S 1.56

Output
Space-group type: C2/m, No. 12
E_tot (eV/atom): -5.563


# 3
Crystalline K6Si2S6O at its relaxed geometry. Source: Alexandria, functional PBE.

Lattice parameters (Å, degrees): 8.9028 11.8487 8.4472 90.00 112.53 90.00
Closest atoms and distances in Å follow each position.
Fractional positions:
K  0.0078  0.1725  0.0101  5 S 3.14-3.25
K  0.0078  0.3275  0.5101  5 S 3.14-3.25
K  0.2200  0.5597  0.2171  5 S 3.22-3.35, 1 Si 3.55
K  0.2200  0.9403  0.7171  5 S 3.22-3.35, 1 Si 3.55
K  0.4619  0.2239  0.7944  6 S 3.25-3.62
K  0.4619  0.2761  0.2944  6 S 3.25-3.62
K  0.5381  0.7239  0.7056  6 S 3.25-3.62
K  0.5381  0.7761  0.2056  6 S 3.25-3.62
K  0.7800  0.0597  0.2829  5 S 3.22-3.35, 1 Si 3.55
K  0.7800  0.4403  0.7829  5 S 3.22-3.35, 1 Si 3.55
K  0.9922  0.6725  0.4899  5 S 3.14-3.25
K  0.9922  0.8275  0.9899  5 S 3.14-3.25
Si  0.3148  0.5106  0.8514  1 O 1.65
Si  0.3148  0.9894  0.3514  1 O 1.65
Si  0.6852  0.0106  0.6486  1 O 1.65
Si  0.6852  0.4894  0.1486  1 O 1.65
S  0.1742  0.1160  0.4115  1 Si 2.14
S  0.1742  0.3840  0.9115  1 Si 2.14
S  0.2383  0.6787  0.8734  1 Si 2.14
S  0.2383  0.8213  0.3734  1 Si 2.14
S  0.3313  0.0199  0.1099  1 Si 2.13
S  0.3313  0.4801  0.6099  1 Si 2.13
S  0.6687  0.5199  0.3901  1 Si 2.13
S  0.6687  0.9801  0.8901  1 Si 2.13
S  0.7617  0.1787  0.6266  1 Si 2.14
S  0.7617  0.3213  0.1266  1 Si 2.14
S  0.8258  0.6160  0.0885  1 Si 2.14
S  0.8258  0.8840  0.5885  1 Si 2.14
O  0.5000  0.0000  0.5000  2 Si 1.65
O  0.5000  0.5000  0.0000  2 Si 1.65

Output
Space-group type: P2_1/c, No. 14
E_tot (eV/atom): -4.495


# 4
Crystalline KSiS2O8 at its relaxed geometry. Source: Alexandria, functional PBE.

Lattice parameters (Å, degrees): 4.8264 4.8264 7.9730 94.35 94.35 65.35
Closest atoms and distances in Å follow each position.
Fractional positions:
K  0.0000  0.0000  0.0000  10 O 2.84-3.17
Si  0.0000  0.0000  0.5000  6 O 1.91-1.96
S  0.3709  0.3709  0.6966  4 O 1.46-1.53
S  0.6291  0.6291  0.3034  4 O 1.46-1.53
O  0.2337  0.2337  0.5565  1 S 1.50
O  0.2395  0.7147  0.6728  1 S 1.53
O  0.2853  0.7605  0.3272  1 S 1.53
O  0.3105  0.3105  0.8635  1 S 1.46
O  0.6895  0.6895  0.1365  1 S 1.46
O  0.7147  0.2395  0.6728  1 S 1.53
O  0.7605  0.2853  0.3272  1 S 1.53
O  0.7663  0.7663  0.4435  1 S 1.50

Output
Space-group type: C2/m, No. 12
E_tot (eV/atom): -6.006


# 5
Crystalline KSmS2O8 at its relaxed geometry. Source: Alexandria, functional PBE.

Lattice parameters (Å, degrees): 5.4231 5.4231 8.1651 90.00 90.00 120.00
Closest atoms and distances in Å follow each position.
Fractional positions:
K  0.0000  0.0000  0.0000  12 O 3.18-3.19
Sm  0.0000  0.0000  0.5000  6 O 2.31
S  0.3333  0.6667  0.7443  4 O 1.45-1.50
S  0.6667  0.3333  0.2557  4 O 1.45-1.50
O  0.1312  0.3758  0.6784  1 S 1.50
O  0.2446  0.8688  0.6784  1 S 1.50
O  0.3333  0.6667  0.9224  1 S 1.45
O  0.3758  0.2446  0.3216  1 S 1.50
O  0.6242  0.7554  0.6784  1 S 1.50
O  0.6667  0.3333  0.0776  1 S 1.45
O  0.7554  0.1312  0.3216  1 S 1.50
O  0.8688  0.6242  0.3216  1 S 1.50

Output
Excess energy over the best structure of this formula in the dataset (meV per atom): 21
Space-group type: P-3, No. 147
E_tot (eV/atom): -6.544


# 6
Crystalline KSmS2O6 at its relaxed geometry. Source: Alexandria, functional PBE.

Lattice parameters (Å, degrees): 7.4919 7.4919 7.4919 42.20 42.20 42.20
Closest atoms and distances in Å follow each position.
Fractional positions:
K  0.0000  0.0000  0.0000  6 O 2.95
Sm  0.5000  0.5000  0.5000  6 O 2.35
S  0.2645  0.2645  0.2645  3 O 1.54
S  0.7355  0.7355  0.7355  3 O 1.54
O  0.0456  0.7263  0.5231  1 S 1.54
O  0.2737  0.4769  0.9544  1 S 1.54
O  0.4769  0.9544  0.2737  1 S 1.54
O  0.5231  0.0456  0.7263  1 S 1.54
O  0.7263  0.5231  0.0456  1 S 1.54
O  0.9544  0.2737  0.4769  1 S 1.54

Output
Space-group type: R-3, No. 148
E_tot (eV/atom): -6.380


# 7
Crystalline KSmS2O8 at its relaxed geometry. Source: Alexandria, functional PBE.

Lattice parameters (Å, degrees): 8.7549 7.2213 10.6903 90.00 92.34 90.00
Closest atoms and distances in Å follow each position.
Fractional positions:
K  0.0626  0.1505  0.3448  8 O 2.79-3.09
K  0.0626  0.3495  0.8448  8 O 2.79-3.09
K  0.9374  0.6505  0.1552  8 O 2.79-3.09
K  0.9374  0.8495  0.6552  8 O 2.79-3.09
Sm  0.4444  0.6684  0.6506  9 O 2.41-2.61
Sm  0.4444  0.8316  0.1506  9 O 2.41-2.61
Sm  0.5556  0.1684  0.8494  9 O 2.41-2.61
Sm  0.5556  0.3316  0.3494  9 O 2.41-2.61
S  0.2293  0.6581  0.4102  4 O 1.45-1.52
S  0.2293  0.8419  0.9102  4 O 1.45-1.52
S  0.3203  0.1663  0.6096  4 O 1.45-1.52
S  0.3203  0.3337  0.1096  4 O 1.45-1.52
S  0.6797  0.6663  0.8904  4 O 1.45-1.52
S  0.6797  0.8337  0.3904  4 O 1.45-1.52
S  0.7707  0.1581  0.0898  4 O 1.45-1.52
S  0.7707  0.3419  0.5898  4 O 1.45-1.52
O  0.1068  0.5347  0.3679  1 S 1.45
O  0.1068  0.9653  0.8679  1 S 1.45
O  0.1552  0.1444  0.6062  1 S 1.45
O  0.1552  0.3556  0.1062  1 S 1.45
O  0.2021  0.7492  0.5331  1 S 1.50
O  0.2021  0.7508  0.0331  1 S 1.50
O  0.2591  0.6969  0.8137  1 S 1.50
O  0.2591  0.8031  0.3137  1 S 1.50
O  0.3671  0.1670  0.1899  1 S 1.52
O  0.3671  0.3330  0.6899  1 S 1.52
O  0.3770  0.5527  0.4397  1 S 1.52
O  0.3770  0.9473  0.9397  1 S 1.52
O  0.3786  0.1783  0.4819  1 S 1.48
O  0.3786  0.3217  0.9819  1 S 1.48
O  0.4036  0.0097  0.6785  1 S 1.52
O  0.4036  0.4903  0.1785  1 S 1.52
O  0.5964  0.5097  0.8215  1 S 1.52
O  0.5964  0.9903  0.3215  1 S 1.52
O  0.6214  0.6783  0.0181  1 S 1.48
O  0.6214  0.8217  0.5181  1 S 1.48
O  0.6230  0.0527  0.0603  1 S 1.52
O  0.6230  0.4473  0.5603  1 S 1.52
O  0.6329  0.6670  0.3101  1 S 1.52
O  0.6329  0.8330  0.8101  1 S 1.52
O  0.7409  0.1969  0.6863  1 S 1.50
O  0.7409  0.3031  0.1863  1 S 1.50
O  0.7979  0.2492  0.9669  1 S 1.50
O  0.7979  0.2508  0.4669  1 S 1.50
O  0.8448  0.6444  0.8938  1 S 1.45
O  0.8448  0.8556  0.3938  1 S 1.45
O  0.8932  0.0347  0.1321  1 S 1.45
O  0.8932  0.4653  0.6321  1 S 1.45

Output
Excess energy over the best structure of this formula in the dataset (meV per atom): 0
Space-group type: P2_1/c, No. 14
E_tot (eV/atom): -6.565


# 8
Crystalline K2Sm4S3O2 at its relaxed geometry. Source: Alexandria, functional PBE.

Lattice parameters (Å, degrees): 12.3103 12.3103 12.3103 158.18 158.18 31.06
Closest atoms and distances in Å follow each position.
Fractional positions:
K  0.2044  0.2044  0.0000  1 O 2.58
K  0.7956  0.7956  0.0000  1 O 2.58
Sm  0.0753  0.5753  0.5000  2 O 2.38
Sm  0.4247  0.9247  0.5000  2 O 2.38
Sm  0.5753  0.0753  0.5000  2 O 2.38
Sm  0.9247  0.4247  0.5000  2 O 2.38
S  0.3437  0.3437  0.0000  4 Sm 3.02, 1 K 3.30
S  0.5000  0.5000  0.0000  8 Sm 2.94
S  0.6563  0.6563  0.0000  4 Sm 3.02, 1 K 3.30
O  0.0955  0.0955  0.0000  4 Sm 2.38, 1 K 2.58
O  0.9045  0.9045  0.0000  4 Sm 2.38, 1 K 2.58

Output
Space-group type: I4/mmm, No. 139
E_tot (eV/atom): -5.798


# 9
Crystalline K2Sn2S2O at its relaxed geometry. Source: Alexandria, functional PBE.

Lattice parameters (Å, degrees): 4.3540 7.2192 7.3681 61.62 72.89 72.49
Closest atoms and distances in Å follow each position.
Fractional positions:
K  0.0452  0.1785  0.2306  2 O 3.04, 2 S 3.31
K  0.9548  0.8215  0.7694  2 O 3.04, 2 S 3.31
Sn  0.3168  0.6342  0.2318  1 O 2.19
Sn  0.6832  0.3658  0.7682  1 O 2.19
S  0.3471  0.2664  0.5397  1 Sn 2.54
S  0.6530  0.7336  0.4603  1 Sn 2.54
O  0.5000  0.5000  0.0000  2 Sn 2.19

Output
Space-group type: P-1, No. 2
E_tot (eV/atom): -4.203


# 10
Crystalline K2SnS6O21 at its relaxed geometry. Source: Alexandria, functional PBE.

Lattice parameters (Å, degrees): 10.0625 10.0625 11.0897 90.00 90.00 120.00
Closest atoms and distances in Å follow each position.
Fractional positions:
K  0.3333  0.6667  0.3683  6 O 2.79-2.88
K  0.3333  0.6667  0.9441  9 O 2.81-3.14
K  0.6667  0.3333  0.0559  9 O 2.81-3.14
K  0.6667  0.3333  0.6317  6 O 2.79-2.88
Sn  0.0000  0.0000  0.2604  6 O 2.08
Sn  0.0000  0.0000  0.7396  6 O 2.08
S  0.0544  0.7193  0.1598  3 O 1.43-1.52
S  0.1706  0.3559  0.6488  3 O 1.43-1.53
S  0.1853  0.8294  0.6488  3 O 1.43-1.53
S  0.2807  0.3351  0.1598  3 O 1.43-1.52
S  0.3351  0.0544  0.8402  3 O 1.43-1.52
S  0.3559  0.1853  0.3512  3 O 1.43-1.53
S  0.6441  0.8147  0.6488  3 O 1.43-1.53
S  0.6649  0.9456  0.1598  3 O 1.43-1.52
S  0.7193  0.6649  0.8402  3 O 1.43-1.52
S  0.8147  0.1706  0.3512  3 O 1.43-1.53
S  0.8294  0.6441  0.3512  3 O 1.43-1.53
S  0.9456  0.2807  0.8402  3 O 1.43-1.52
O  0.0057  0.3367  0.7000  2 S 1.66-1.67
O  0.0478  0.8661  0.1454  1 S 1.52
O  0.0493  0.3950  0.9229  1 S 1.43
O  0.0605  0.8719  0.6293  1 S 1.53
O  0.1281  0.1886  0.6293  1 S 1.53
O  0.1339  0.1817  0.1454  1 S 1.52
O  0.1450  0.7152  0.7406  1 S 1.43
O  0.1817  0.0478  0.8546  1 S 1.52
O  0.1870  0.4280  0.5343  1 S 1.43
O  0.1886  0.0605  0.3707  1 S 1.53
O  0.2095  0.7489  0.1665  1 S 1.44
O  0.2411  0.8130  0.5343  1 S 1.43
O  0.2511  0.4605  0.1665  1 S 1.44
O  0.2848  0.4298  0.7406  1 S 1.43
O  0.3310  0.9943  0.7000  2 S 1.66-1.67
O  0.3367  0.3310  0.3000  2 S 1.66-1.67
O  0.3457  0.9507  0.9229  1 S 1.43
O  0.3950  0.3457  0.0771  1 S 1.43
O  0.4280  0.2411  0.4657  1 S 1.43
O  0.4298  0.1450  0.2594  1 S 1.43
O  0.4605  0.2095  0.8335  1 S 1.44
O  0.5395  0.7905  0.1665  1 S 1.44
O  0.5702  0.8550  0.7406  1 S 1.43
O  0.5720  0.7589  0.5343  1 S 1.43
O  0.6050  0.6543  0.9229  1 S 1.43
O  0.6543  0.0493  0.0771  1 S 1.43
O  0.6633  0.6690  0.7000  2 S 1.66-1.67
O  0.6690  0.0057  0.3000  2 S 1.66-1.67
O  0.7152  0.5702  0.2594  1 S 1.43
O  0.7489  0.5395  0.8335  1 S 1.44
O  0.7589  0.1870  0.4657  1 S 1.43
O  0.7905  0.2511  0.8335  1 S 1.44
O  0.8114  0.9395  0.6293  1 S 1.53
O  0.8130  0.5720  0.4657  1 S 1.43
O  0.8183  0.9522  0.1454  1 S 1.52
O  0.8550  0.2848  0.2594  1 S 1.43
O  0.8661  0.8183  0.8546  1 S 1.52
O  0.8719  0.8114  0.3707  1 S 1.53
O  0.9395  0.1281  0.3707  1 S 1.53
O  0.9507  0.6050  0.0771  1 S 1.43
O  0.9522  0.1339  0.8546  1 S 1.52
O  0.9943  0.6633  0.3000  2 S 1.66-1.67

Output
Space-group type: P-3, No. 147
E_tot (eV/atom): -5.912


# 11
Crystalline K2SnSO at its relaxed geometry. Source: Alexandria, functional PBE.

Lattice parameters (Å, degrees): 6.7895 3.9583 10.5221 90.00 102.11 90.00
Closest atoms and distances in Å follow each position.
Fractional positions:
K  0.1687  0.2500  0.3516  2 O 2.93, 1 S 3.18
K  0.2001  0.7500  0.0125  3 O 2.63-2.80
K  0.7999  0.2500  0.9875  3 O 2.63-2.80
K  0.8313  0.7500  0.6484  2 O 2.93, 1 S 3.18
Sn  0.3192  0.2500  0.7698  1 O 2.04
Sn  0.6808  0.7500  0.2302  1 O 2.04
S  0.2810  0.7500  0.6060  2 Sn 2.60
S  0.7190  0.2500  0.3940  2 Sn 2.60
O  0.0518  0.2500  0.8291  1 Sn 2.04
O  0.9482  0.7500  0.1709  1 Sn 2.04

Output
Space-group type: P2_1/m, No. 11
E_tot (eV/atom): -4.168


# 12
Crystalline KSnS2O8 at its relaxed geometry. Source: Alexandria, functional PBE.

Lattice parameters (Å, degrees): 5.0554 5.0554 8.5434 90.00 90.00 120.00
Closest atoms and distances in Å follow each position.
Fractional positions:
K  0.0000  0.0000  0.0000  12 O 3.04-3.34
Sn  0.0000  0.0000  0.5000  6 O 2.27
S  0.3333  0.6667  0.7274  4 O 1.46-1.51
S  0.6667  0.3333  0.2726  4 O 1.46-1.51
O  0.0646  0.3761  0.6673  1 S 1.51
O  0.3115  0.9354  0.6673  1 S 1.51
O  0.3333  0.6667  0.8985  1 S 1.46
O  0.3761  0.3115  0.3327  1 S 1.51
O  0.6239  0.6885  0.6673  1 S 1.51
O  0.6667  0.3333  0.1015  1 S 1.46
O  0.6885  0.0646  0.3327  1 S 1.51
O  0.9354  0.6239  0.3327  1 S 1.51

Output
Space-group type: P-3, No. 147
E_tot (eV/atom): -5.888